PBE-GGA BeTe2RhI, optimized geometry; raw formation energy = 77 kJ/mol of atoms; relative energy among the computed polymorphs = 16 meV/atom; V = 120.8 Å³/cell; space-group type = No. 123
1.0
4.9294 0.0000 0.0000
0.0000 4.9294 0.0000
0.0000 0.0000 4.9711
Be Te Rh I
1 2 1 1
direct
0.0000 0.0000 0.0000
0.0000 0.5000 0.0000
0.5000 0.0000 0.0000
0.5000 0.5000 0.5000
0.0000 0.0000 0.5000

PBE-GGA PuMgAl2O8, optimized geometry; raw formation energy = -212 kJ/mol of atoms; V = 141.1 Å³/cell; space-group type = No. 119
1.0
-3.3117 3.3117 3.2159
3.3117 -3.3117 3.2159
3.3117 3.3117 -3.2159
Pu Mg Al O
1 1 2 8
direct
0.0000 0.0000 0.0000
0.2500 0.7500 0.5000
0.5000 0.5000 0.0000
0.7500 0.2500 0.5000
0.3081 0.1177 0.8095
0.3081 0.4986 0.1905
0.3689 0.0687 0.3002
0.5014 0.6919 0.8095
0.7685 0.0687 0.6998
0.8823 0.6919 0.1905
0.9313 0.2315 0.3002
0.9313 0.6311 0.6998

PBE-GGA K2ReBr, optimized geometry; raw formation energy = -12 kJ/mol of atoms; relative energy among the computed polymorphs = 53 meV/atom; V = 282.7 Å³/cell; space-group type = No. 1
1.0
3.7020 0.0000 0.0000
0.0194 7.8026 0.0000
1.8379 3.7994 9.7862
K Re Br
4 2 2
direct
0.0000 0.0000 0.0000
0.0658 0.5613 0.8689
0.2287 0.2155 0.5395
0.2967 0.7569 0.3960
0.4025 0.2750 0.1935
0.8905 0.4435 0.2159
0.6125 0.9273 0.7742
0.6794 0.4914 0.6371

PBE-GGA Tl2FeTcCl, optimized geometry; raw formation energy = 55 kJ/mol of atoms; V = 133.4 Å³/cell; space-group type = No. 123
1.0
5.4691 0.0000 0.0000
0.0000 5.4691 0.0000
0.0000 0.0000 4.4594
Tl Fe Tc Cl
2 1 1 1
direct
0.0000 0.5000 0.0000
0.5000 0.0000 0.0000
0.0000 0.0000 0.5000
0.0000 0.0000 0.0000
0.5000 0.5000 0.5000

PBE-GGA BiOsN2F, optimized geometry; raw formation energy = 31 kJ/mol of atoms; relative energy among the computed polymorphs = 0 meV/atom; V = 68.7 Å³/cell; space-group type = No. 123
1.0
3.8981 0.0000 0.0000
0.0000 3.8981 0.0000
0.0000 0.0000 4.5188
Bi Os N F
1 1 2 1
direct
0.0000 0.0000 0.0000
0.5000 0.5000 0.5000
0.0000 0.5000 0.5000
0.5000 0.0000 0.5000
0.5000 0.5000 0.0000

PBE-GGA Nd5Sm3Mg, optimized geometry; V = 667.8 Å³/cell; space-group type = No. 12; calculated formation energy = 46.24 kJ/mol of atoms
1.0
6.0309 -4.3056 0.0000
6.0309 4.3056 0.0000
-4.3308 0.0000 12.8594
Nd Sm Mg
10 6 2
direct
0.0031 0.0031 0.3892
0.0064 0.6259 0.1980
0.1735 0.8265 0.0000
0.2660 0.2660 0.0461
0.3741 0.9936 0.8020
0.6259 0.0064 0.1980
0.7340 0.7340 0.9539
0.8265 0.1735 0.0000
0.9936 0.3741 0.8020
0.9969 0.9969 0.6108
0.1885 0.1885 0.2738
0.2540 0.2540 0.5673
0.5000 0.5000 0.0000
0.5000 0.5000 0.5000
0.7460 0.7460 0.4327
0.8115 0.8115 0.7262
0.4917 0.4917 0.7558
0.5083 0.5083 0.2442

PBE-GGA NdSc2Cd, optimized geometry; relative energy among the computed polymorphs = 140 meV/atom; V = 101.3 Å³/cell; space-group type = No. 225; calculated formation energy = 2.69 kJ/mol of atoms
1.0
0.0000 3.6997 3.6997
3.6997 0.0000 3.6997
3.6997 3.6997 0.0000
Nd Sc Cd
1 2 1
direct
0.0000 0.0000 0.0000
0.2500 0.2500 0.2500
0.7500 0.7500 0.7500
0.5000 0.5000 0.5000

PBE-GGA CrBi2B, optimized geometry; V = 200.4 Å³/cell; space-group type = No. 122; calculated formation energy = 86.42 kJ/mol of atoms
1.0
-3.2574 3.2574 4.7228
3.2574 -3.2574 4.7228
3.2574 3.2574 -4.7228
Cr Bi B
2 4 2
direct
0.0000 0.0000 0.0000
0.7500 0.2500 0.5000
0.1784 0.6250 0.0534
0.3750 0.4284 0.5534
0.5716 0.1250 0.9466
0.8750 0.8216 0.4466
0.2500 0.7500 0.5000
0.5000 0.5000 0.0000